HfMg6V, relaxed, DFT GGA-PBE; calculated volume = 21.284 A^3/atom; final energy = -27.1 eV for the cell shown; space group = Amm2 (38)
1.0
3.1140 -5.5442 0.0000
3.1140 5.5442 0.0000
0.0000 0.0000 4.9313
Mg Hf V
6 1 1
direct
0.8355 0.6805 0.5000 Mg
0.6650 0.8235 0.0000 Mg
0.8333 0.1667 0.5000 Mg
0.6709 0.3291 0.0000 Mg
0.1765 0.3350 0.0000 Mg
0.3195 0.1645 0.5000 Mg
0.3163 0.6837 0.5000 Hf
0.1831 0.8169 0.0000 V